Sm2HfH: optimized geometry, PBE.

a = 9.6666 Å, b = 9.6666 Å, c = 9.6666 Å
α = 19.56°, β = 19.56°, γ = 19.56°
With the nearest neighbours (Å) after each atom.
Sites, in units of the cell vectors:
Sm 0.1124 0.1124 0.1124  3 H 2.44
Sm 0.8876 0.8876 0.8876  3 H 2.44
Hf 0.0000 0.0000 0.0000  2 Sm 3.20, 6 Hf 3.28
H 0.5000 0.5000 0.5000  6 Sm 2.44

Properties
- VASP energy: -5.49 eV/atom
- Fermi-level density of states: 3.84 states/eV/cell

In2HgMo: optimized geometry, PBE.

a = 2.9512 Å, b = 5.1360 Å, c = 5.4947 Å
α = 90.00°, β = 90.41°, γ = 90.00°
With the nearest neighbours (Å) after each atom.
Sites, in units of the cell vectors:
In 0.2087 0.0000 0.2593  5 In 2.93-3.14, 2 Hg 3.00, 2 Mo 3.01
In 0.7913 0.0000 0.7407  5 In 2.93-3.14, 2 Hg 3.00, 2 Mo 3.01
Hg 0.0000 0.5000 0.0000  2 Hg 2.95, 4 In 3.00, 4 Mo 3.11-3.13
Mo 0.5000 0.5000 0.5000  2 Mo 2.95, 4 In 3.01, 4 Hg 3.11-3.13

Properties
- Formation energy: 0.461 eV/atom
- VASP energy: -3.69 eV/atom
- Fermi-level density of states: 2.32 states/eV/cell